# La2AlCrPd

La2AlCrPd after structural relaxation (PBE-GGA, the Alexandria database).

Lattice parameters (Å, degrees): 5.535 5.535 4.977 90.00 90.00 90.00
Sites, in units of the cell vectors:
La  0.000  0.500  0.000
La  0.500  0.000  0.000
Al  0.000  0.000  0.500
Cr  0.500  0.500  0.500
Pd  0.500  0.500  0.000

Values from the calculation:
Calculated total energy = -5.516 eV/atom
DFT formation energy = 0.167 eV/atom
Space group = P4/mmm (123)
Crystal system = tetragonal



# La3AlCrS7

La3AlCrS7 after structural relaxation (PBE-GGA, the Alexandria database).

Lattice parameters (Å, degrees): 10.222 10.222 6.078 90.00 90.00 120.00
Sites, in units of the cell vectors:
La  0.138  0.374  0.000
La  0.235  0.862  0.000
La  0.374  0.235  0.500
La  0.626  0.765  0.000
La  0.765  0.138  0.500
La  0.862  0.626  0.500
Al  0.333  0.667  0.420
Al  0.667  0.333  0.920
Cr  0.000  0.000  0.292
Cr  0.000  0.000  0.792
S  0.085  0.228  0.544
S  0.102  0.584  0.274
S  0.142  0.915  0.544
S  0.228  0.142  0.044
S  0.333  0.667  0.786
S  0.416  0.518  0.274
S  0.482  0.898  0.274
S  0.518  0.102  0.774
S  0.584  0.482  0.774
S  0.667  0.333  0.286
S  0.772  0.858  0.544
S  0.858  0.085  0.044
S  0.898  0.416  0.774
S  0.915  0.772  0.044

Values from the calculation:
Uncorrected formation energy = -1721 meV/atom
Calculated total energy = -6.474 eV/atom
Space group = P6_3 (173)
Crystal system = hexagonal



# La2AlCrS6

La2AlCrS6 after structural relaxation (PBE-GGA, the Alexandria database).

Lattice parameters (Å, degrees): 6.432 6.918 11.256 90.00 124.57 90.00
Sites, in units of the cell vectors:
La  0.219  0.094  0.251
La  0.219  0.406  0.751
La  0.781  0.594  0.249
La  0.781  0.906  0.749
Al  0.500  0.000  0.000
Al  0.500  0.500  0.500
Cr  0.000  0.000  0.500
Cr  0.000  0.500  0.000
S  0.141  0.192  0.954
S  0.141  0.308  0.454
S  0.264  0.692  0.954
S  0.264  0.808  0.454
S  0.348  0.010  0.750
S  0.348  0.490  0.250
S  0.652  0.510  0.750
S  0.652  0.990  0.250
S  0.736  0.192  0.546
S  0.736  0.308  0.046
S  0.859  0.692  0.546
S  0.859  0.808  0.046

Values from the calculation:
Uncorrected formation energy = -1521 meV/atom
Calculated total energy = -6.320 eV/atom
Space group = P2_1/c (14)
Crystal system = monoclinic



# SrLaAl2Cr

SrLaAl2Cr after structural relaxation (PBE-GGA, the Alexandria database).

Lattice parameters (Å, degrees): 4.970 4.970 5.049 90.00 90.00 90.00
Sites, in units of the cell vectors:
Sr  0.000  0.000  0.000
La  0.500  0.500  0.000
Al  0.000  0.500  0.500
Al  0.500  0.000  0.500
Cr  0.000  0.000  0.500

Values from the calculation:
Calculated total energy = -4.404 eV/atom
DFT formation energy = 0.340 eV/atom
Space group = P4/mmm (123)
Crystal system = tetragonal